Fe3Si2O9, relaxed, DFT PBE with a Hubbard U; E_tot = -6.976 eV/atom; volume = 13.0 Å³ per atom
1.0
2.6629 -4.5441 0.0000
2.6629 4.5441 0.0000
-0.0171 0.0000 15.0759
Fe Si O
6 4 18
Cartesian
0.0000 0.0000 0.0000
-0.0085 0.0000 7.5380
2.6629 1.5441 0.0000
2.6544 1.4026 7.5380
2.6544 -1.4026 7.5380
2.6629 -1.5441 0.0000
0.8975 1.5397 10.3588
0.8975 -1.5397 10.3588
4.4112 1.5397 4.7171
4.4112 -1.5397 4.7171
1.7431 2.9523 6.3945
1.8549 3.0373 14.1162
0.7829 0.0000 10.8313
2.2821 2.1757 10.9016
3.4539 3.0373 0.9597
1.7433 0.0000 14.1877
3.0266 2.1757 4.1743
1.7829 0.0000 6.5291
3.5656 2.9523 8.6814
1.7431 -2.9523 6.3945
3.5258 0.0000 8.5468
2.2821 -2.1757 10.9016
3.5654 0.0000 0.8882
1.8549 -3.0373 14.1162
3.0266 -2.1757 4.1743
4.5258 0.0000 4.2446
3.4539 -3.0373 0.9597
3.5656 -2.9523 8.6814